(1)
{
  "formula": "Pm6Nd5Sm",
  "functional": "GGA-PBE",
  "state": "relaxed",
  "ef_ev_per_atom": 0.012,
  "lattice_angstrom": [[12.0321, -1.6171, 0.0000], [1.9340, 6.0459, 0.0000], [0.9670, 3.0229, 5.4965]],
  "species": ["Nd", "Nd", "Pm", "Nd", "Nd", "Pm", "Nd", "Pm", "Sm", "Pm", "Pm", "Pm"],
  "fractional_positions": [[0.5000, 0.8334, 0.3331], [0.0000, 0.3333, 0.3334], [0.7505, 0.0825, 0.3330], [0.0000, 0.6667, 0.6666], [0.5000, 0.1666, 0.6669], [0.2495, 0.9175, 0.6670], [0.5000, 0.5000, 0.0000], [0.2495, 0.5845, 0.3330], [0.0000, 0.0000, 0.0000], [0.2495, 0.2506, 0.0000], [0.7505, 0.4155, 0.6670], [0.7505, 0.7494, 0.0000]]
}

(2)
{
  "formula": "Rb2PmAg2Se4",
  "functional": "GGA-PBE",
  "state": "relaxed",
  "formation_energy_uncorrected_mev_per_atom": -1012,
  "lattice_angstrom": [[4.2571, 0.0000, 0.0000], [0.0000, 8.3395, 0.4254], [-2.1286, -2.9196, 7.3567]],
  "species": ["Ag", "Ag", "Se", "Se", "Se", "Pm", "Se", "Rb", "Rb"],
  "fractional_positions": [[0.6791, 0.9841, 0.3581], [0.3209, 0.0159, 0.6419], [0.8019, 0.8109, 0.6038], [0.5141, 0.7630, 0.0281], [0.1981, 0.1891, 0.3962], [0.0000, 0.0000, 0.0000], [0.4859, 0.2370, 0.9719], [0.1307, 0.5624, 0.2614], [0.8693, 0.4376, 0.7386]]
}

(3)
{
  "formula": "DyEr2H",
  "functional": "GGA-PBE",
  "state": "relaxed",
  "e_above_lowest_polymorph_mev_per_atom": 0,
  "lattice_angstrom": [[3.5607, 0.0000, 0.0000], [1.7804, 3.0837, 0.0000], [1.7804, 1.0279, 8.3957]],
  "species": ["Er", "Dy", "Er", "H"],
  "fractional_positions": [[0.2794, 0.2794, 0.1617], [0.5000, 0.5000, 0.5000], [0.7206, 0.7206, 0.8383], [0.0000, 0.0000, 0.0000]]
}

no.,DOS(E_F) (states/eV/f.u.)
1,18.44
2,4.86
3,2.81